Here is a relaxed structure of Cs2PmHg2Se4 from Alexandria via LeMat-Bulk. Energies are from PBE.

Formation energy from raw total energies: -0.991 eV/atom
Calculated total energy: -3.32 eV per atom
Spin magnetization: 0.0000 μB/atom
Fermi-level density of states: 0.44 states/eV per atom
Crystal system: monoclinic

a = 17.0213 Å, b = 4.3385 Å, c = 8.8788 Å
α = 90.00°, β = 112.08°, γ = 90.00°
Last column: nearest neighbours and their distance in Å.
Space group C2/m (No. 12)
Asymmetric unit:
1 Cs 0.1283 0.0000 0.0683  7 Se 3.63-3.91, 1 Hg 3.85
2 Pm 0.0000 0.0000 0.5000  6 Se 2.99-3.00
3 Hg 0.1877 0.5000 0.5143  3 Se 2.76-2.80
4 Se 0.0240 0.5000 0.2876  1 Hg 2.76, 2 Pm 3.00
5 Se 0.1840 0.0000 0.7112  2 Hg 2.80, 1 Pm 2.99

Here is a relaxed structure of CsPmHgSe3 from Alexandria via LeMat-Bulk. Energies are from PBE.

Formation energy from raw total energies: -1.219 eV/atom
Calculated total energy: -3.95 eV per atom
Spin magnetization: 0.0000 μB/atom
Crystal system: monoclinic

a = 9.5766 Å, b = 4.3894 Å, c = 10.6970 Å
α = 90.00°, β = 109.92°, γ = 90.00°
Last column: nearest neighbours and their distance in Å.
Space group P2_1/m (No. 11)
Asymmetric unit:
1 Cs 0.2228 0.2500 0.2481  7 Se 3.66-3.91
2 Pm 0.3276 0.7500 0.8645  6 Se 2.88-3.17
3 Hg 0.0899 0.2500 0.6188  4 Se 2.64-2.89
4 Se 0.1148 0.2500 0.8720  1 Hg 2.64
5 Se 0.2185 0.7500 0.5490  3 Hg 2.74-2.89
6 Se 0.4724 0.7500 0.1492  3 Pm 2.88-2.95

Here is a relaxed structure of CsPm2HgSe4 from Alexandria via LeMat-Bulk. Energies are from PBE.

Formation energy from raw total energies: -1.318 eV/atom
Calculated total energy: -4.39 eV per atom
Spin magnetization: 0.0000 μB/atom
Fermi-level density of states: 0.47 states/eV per atom
Crystal system: orthorhombic

a = 4.4070 Å, b = 14.8727 Å, c = 15.5669 Å
α = 90.00°, β = 90.00°, γ = 90.00°
Last column: nearest neighbours and their distance in Å.
Space group Cmcm (No. 63)
Asymmetric unit:
1 Cs 0.0000 0.1222 0.2500  6 Se 3.50-3.73, 2 Hg 3.82
2 Pm 0.0000 0.3751 0.0586  6 Se 2.97-3.13
3 Hg 0.0000 0.1683 0.7500  4 Se 2.72-2.75
4 Se 0.0000 0.0000 0.0000  4 Pm 3.02
5 Se 0.0000 0.2571 0.5951  1 Hg 2.75, 3 Pm 2.97-3.01
6 Se 0.0000 0.4393 0.2500  2 Hg 2.72

Here is a relaxed structure of Cs2PmHg2Te4 from Alexandria via LeMat-Bulk. Energies are from PBE.

Formation energy from raw total energies: -0.825 eV/atom
Calculated total energy: -3.01 eV per atom
Spin magnetization: 0.0000 μB/atom
Fermi-level density of states: 0.29 states/eV per atom
Crystal system: triclinic

a = 4.9578 Å, b = 8.8365 Å, c = 9.0062 Å
α = 107.99°, β = 105.60°, γ = 90.05°
Last column: nearest neighbours and their distance in Å.
Space group P-1 (No. 2)
Asymmetric unit:
1 Cs 0.1342 0.0837 0.2675  7 Te 3.93-4.09, 3 Hg 4.22-4.24, 1 Cs 4.40
2 Pm 0.0000 0.5000 0.0000  6 Te 3.23-3.26
3 Hg 0.3311 0.5137 0.6655  4 Te 2.93-3.15
4 Te 0.1956 0.6732 0.3890  3 Hg 2.93-3.15, 1 Pm 3.23
5 Te 0.4986 0.2610 0.0003  1 Hg 2.94, 2 Pm 3.25-3.26

Here is a relaxed structure of CsPrHg from Alexandria via LeMat-Bulk. Energies are from PBE.

Calculated total energy: -1.90 eV per atom
Spin magnetization: 0.0000 μB/atom
ΔH_f (0 K): 0.08 eV per atom
Fermi-level density of states: 1.16 states/eV per atom
Crystal system: orthorhombic

a = 17.8747 Å, b = 4.2117 Å, c = 7.2576 Å
α = 90.00°, β = 90.00°, γ = 90.00°
Last column: nearest neighbours and their distance in Å.
Space group Amm2 (No. 38)
Asymmetric unit:
1 Cs 0.1644 0.0000 0.0000  3 Hg 3.81, 6 Cs 4.20-4.21
2 Pr 0.3844 0.0000 0.6613  3 Hg 3.19
3 Hg 0.0000 0.0000 0.6651  6 Cs 3.81, 6 Hg 4.20-4.21
4 Hg 0.5000 0.0000 0.9955  6 Pr 3.19

Here is a relaxed structure of Cs2PrHg2Se4 from Alexandria via LeMat-Bulk. Energies are from PBE.

Formation energy from raw total energies: -0.988 eV/atom
Calculated total energy: -3.32 eV per atom
Spin magnetization: 0.0000 μB/atom
Fermi-level density of states: 0.45 states/eV per atom
Crystal system: monoclinic

a = 17.0775 Å, b = 4.3759 Å, c = 8.8864 Å
α = 90.00°, β = 112.00°, γ = 90.00°
Last column: nearest neighbours and their distance in Å.
Space group C2/m (No. 12)
Asymmetric unit:
1 Cs 0.1284 0.0000 0.0674  7 Se 3.66-3.91, 1 Hg 3.87, 1 Cs 4.09
2 Pr 0.0000 0.0000 0.5000  6 Se 3.03-3.04
3 Hg 0.1877 0.5000 0.5135  3 Se 2.76-2.81
4 Se 0.0250 0.5000 0.2853  1 Hg 2.76, 2 Pr 3.04
5 Se 0.1863 0.0000 0.7107  2 Hg 2.81, 1 Pr 3.03